Record 1
TeC3 | Alexandria | PBE | optimized geometry; size of the total moment = 0.0 μB per cell; raw total energy = -6.091 eV per atom; ΔE_f (raw) = 1.612 eV per atom; relative energy among the computed polymorphs = 646.8 meV per atom
1.0
2.5565 0.0000 0.0000
0.0000 3.3737 0.0000
0.0000 0.0000 7.3302
Te C
1 3
Direct
0.0000 0.0000 0.0000 Te
0.0000 0.0000 0.5000 C
0.5000 0.2957 0.5000 C
0.5000 0.7043 0.5000 C

Record 2
Cs3Al2Sb4 | Alexandria | PBE | optimized geometry; size of the total moment = 0.0 μB per cell; raw total energy = -3.293 eV per atom; ΔE_f (raw) = -0.345 eV per atom; relative energy among the computed polymorphs = 0.0 meV per atom
1.0
9.8009 -2.2530 0.0000
9.8009 2.2530 0.0000
-3.5807 0.0000 8.2510
Cs Al Sb
3 2 4
Direct
0.0000 0.0000 0.0000 Cs
0.1483 0.1483 0.7585 Cs
0.8517 0.8517 0.2415 Cs
0.3251 0.3251 0.5708 Al
0.6749 0.6749 0.4292 Al
0.2017 0.2017 0.2802 Sb
0.4755 0.4755 0.6259 Sb
0.5245 0.5245 0.3741 Sb
0.7983 0.7983 0.7198 Sb

Record 3
AcZnCu2 | Alexandria | PBE | optimized geometry; size of the total moment = 0.0 μB per cell; raw total energy = -3.614 eV per atom
1.0
2.1737 1.2550 5.1645
-2.1737 1.2550 5.1645
0.0000 -2.5100 5.1645
Ac Zn Cu
1 1 2
Direct
0.0000 0.0000 0.0000 Ac
0.5000 0.5000 0.5000 Zn
0.1963 0.1963 0.1963 Cu
0.8037 0.8037 0.8037 Cu

Record 4
NaThRh4 | Alexandria | PBE | optimized geometry; size of the total moment = 0.0 μB per cell; raw total energy = -6.782 eV per atom
1.0
0.0000 3.7774 3.7774
3.7774 0.0000 3.7774
3.7774 3.7774 0.0000
Na Th Rh
1 1 4
Direct
0.0000 0.0000 0.0000 Na
0.7500 0.7500 0.7500 Th
0.3746 0.3746 0.3746 Rh
0.3746 0.3746 0.8762 Rh
0.3746 0.8762 0.3746 Rh
0.8762 0.3746 0.3746 Rh